Entry from the Alexandria database: crystalline MnV2Si6 at its relaxed geometry (PBE).

Summary:
- Formation energy from raw total energies: -0.43 eV/atom
- D(E_F): 4.677 states/eV/cell
- Space group: No. 21

Cell lengths 4.503, 4.503, 6.361 Å; angles 90.00, 90.00, 120.52 degrees
Last column: magnetic moment on the atom in μB.
Atoms (fractional coordinates):
Si (0.166, 0.329, 0.668)  -0.01
Si (0.329, 0.166, 0.332)  -0.01
Si (0.671, 0.834, 0.332)  -0.01
Si (0.835, 0.165, 0.000)  -0.01
Si (0.834, 0.671, 0.668)  -0.01
Si (0.165, 0.835, 0.000)  -0.01
Mn (0.500, 0.500, 0.000)  0.55
V (0.500, 0.000, 0.670)  0.09
V (0.000, 0.500, 0.330)  0.09